No. 1
## Ca2Pr6Tm3 (PBE)

Data for crystalline Ca2Pr6Tm3 at its relaxed geometry.

Geometry as CIF:
```
data_Ca2Pr6Tm3
_cell_length_a 3.6647
_cell_length_b 3.6647
_cell_length_c 99.6220
_cell_angle_alpha 90.00
_cell_angle_beta 90.00
_cell_angle_gamma 120.00
_space_group_name_H-M_alt 'R -3 m'
_space_group_IT_number 166
_space_group_name_Hall '-R 3 2"'
loop_
_atom_site_label
_atom_site_type_symbol
_atom_site_fract_x
_atom_site_fract_y
_atom_site_fract_z
Ca1 Ca 0.0000 0.0000 0.0473
Pr1 Pr 0.0000 0.0000 0.1377
Pr2 Pr 0.0000 0.0000 0.3186
Pr3 Pr 0.0000 0.0000 0.4133
Tm1 Tm 0.0000 0.0000 0.2249
Tm2 Tm 0.0000 0.0000 0.5000
```



No. 2
## CaPr3Tm6 (PBE)

Data for crystalline CaPr3Tm6 at its relaxed geometry.

Geometry as CIF:
```
data_CaPr3Tm6
_cell_length_a 18.1667
_cell_length_b 6.8568
_cell_length_c 5.9407
_cell_angle_alpha 90.00
_cell_angle_beta 105.17
_cell_angle_gamma 90.00
_space_group_name_H-M_alt 'C 1 2/m 1'
_space_group_IT_number 12
loop_
_space_group_symop_operation_xyz
'x,y,z'
'-x,-y,-z'
'-x,y,-z'
'x,-y,z'
'x+1/2,y+1/2,z'
'-x+1/2,-y+1/2,-z'
'-x+1/2,y+1/2,-z'
'x+1/2,-y+1/2,z'
loop_
_atom_site_label
_atom_site_type_symbol
_atom_site_fract_x
_atom_site_fract_y
_atom_site_fract_z
Ca1 Ca 0.0000 0.0000 0.0000
Pr1 Pr 0.0000 0.5000 0.5000
Pr2 Pr 0.1481 0.0000 0.5983
Tm1 Tm 0.1701 0.2619 0.0963
Tm2 Tm 0.1873 0.5000 0.6015
```



No. 3
# CaPrTm (PBE, optimized geometry)
data_CaPrTm
_cell_length_a 3.6162
_cell_length_b 5.5840
_cell_length_c 10.8868
_cell_angle_alpha 90.00
_cell_angle_beta 99.40
_cell_angle_gamma 90.00
_space_group_name_H-M_alt 'P 1 21/m 1'
_space_group_IT_number 11
loop_
_space_group_symop_operation_xyz
'x,y,z'
'-x,-y,-z'
'-x,y+1/2,-z'
'x,-y+1/2,z'
loop_
_atom_site_label
_atom_site_type_symbol
_atom_site_fract_x
_atom_site_fract_y
_atom_site_fract_z
Ca1 Ca 0.2025 0.2500 0.4070
Pr1 Pr 0.3980 0.2500 0.7912
Tm1 Tm 0.0382 0.2500 0.0794
# E above lowest polymorph = 0.0 meV/atom



| no. | ρ (g/cm³) | calculated formation energy (eV per atom) |
| --- | --- | --- |
| 1 | 6.16 | 0.029 |
| 2 | 6.87 | 0.239 |
| 3 | 5.36 | 0.030 |